1.
CeTl2Br8 GGA-PBE optimized geometry; polymorph energy (0 for the lowest one) = 0 meV per atom; crystal system = monoclinic
1.0
-5.1609 1.5391 -4.7439
-7.2643 -0.3431 4.6682
-0.0508 8.6375 -0.2658
Br Tl Ce
8 2 1
Direct
0.8467 0.0395 0.7285
0.1533 0.2715 0.9605
0.7718 0.4685 0.4685
0.3502 0.8025 0.8025
0.1533 0.9605 0.2715
0.8467 0.7285 0.0395
0.2282 0.5315 0.5315
0.6498 0.1975 0.1975
0.1786 0.3027 0.3027
0.8214 0.6973 0.6973
0.0000 0.0000 0.0000

***

2.
K3TiBe GGA-PBE optimized geometry; DFT formation energy = 1.3904 eV/atom; polymorph energy (0 for the lowest one) = 0 meV per atom; crystal system = cubic
1.0
6.2701 0.0000 0.0000
0.0000 6.2701 0.0000
0.0000 0.0000 6.2701
Be K Ti
1 3 1
Direct
0.0000 0.0000 0.0000
0.0000 0.5000 0.0000
0.0000 0.0000 0.5000
0.5000 0.0000 0.0000
0.5000 0.5000 0.5000

***

3.
Pm3NdDy2Te6 GGA-PBE optimized geometry; total DFT energy (no corrections) = -5.291 eV per atom; crystal system = monoclinic
1.0
4.4046 0.0000 0.0000
0.0000 8.9232 0.3284
-2.2023 -2.5600 9.3192
Te Dy Pm Nd
6 2 3 1
Direct
0.0038 0.2538 0.0076
0.6696 0.0910 0.3392
0.3304 0.9090 0.6608
0.3304 0.4219 0.6607
0.9962 0.7462 0.9924
0.6696 0.5781 0.3393
0.1650 0.3303 0.3300
0.8350 0.6697 0.6700
0.5000 0.5000 0.0000
0.1619 0.8327 0.3238
0.8381 0.1673 0.6762
0.5000 0.0000 0.0000

***

4.
CoSiP GGA-PBE optimized geometry; total DFT energy (no corrections) = -6.033 eV per atom; crystal system = trigonal
1.0
3.4552 0.0000 0.0000
-1.7276 2.9923 0.0000
0.0000 0.0000 11.6099
P Si Co
3 3 3
Direct
0.0000 0.0000 0.2017
0.3333 0.6667 0.8684
0.6667 0.3333 0.5351
0.0000 0.0000 0.4096
0.6667 0.3333 0.7429
0.3333 0.6667 0.0763
0.0000 0.0000 0.6198
0.6667 0.3333 0.9532
0.3333 0.6667 0.2865